Record 1
Below is a relaxed structure of Th6BS5, with properties calculated at the GGA-PBE level.

Cell: 7.022 12.109 6.979 Å, 90.00 109.38 90.00°
Space group C2/m (No. 12)
Inequivalent atoms, fractional coordinates:
Th  0.237  0.000  0.259 [4 per cell]
Th  0.238  0.159  0.738 [8 per cell]
B  0.000  0.000  0.500 [2 per cell]
S  0.000  0.171  0.000 [4 per cell]
S  0.000  0.334  0.500 [4 per cell]
S  0.000  0.500  0.000 [2 per cell]

Results
ΔE_f (raw) (eV per atom): -1.609

Record 2
Below is a relaxed structure of Pr2Sm15Ho2, with properties calculated at the GGA-PBE level.

Cell: 11.1763 11.1763 18.2899 Å, 90.00 90.00 120.00°
Space group R-3m (No. 166, hexagonal axes)
Inequivalent atoms, fractional coordinates:
Pr  0.0000  0.0000  0.0910 [6 per cell]
Sm  0.0000  0.3004  0.0000 [18 per cell]
Sm  0.0000  0.5000  0.5000 [9 per cell]
Sm  0.0254  0.5127  0.1310 [18 per cell]
Ho  0.0000  0.0000  0.3155 [6 per cell]

Results
ΔH_f (0 K) (eV per atom): 0.2810

Record 3
Below is a relaxed structure of DyIn2Te4, with properties calculated at the GGA-PBE level.

Cell: 8.315 8.315 7.488 Å, 90.00 90.00 90.00°
Space group I4/m (No. 87)
Inequivalent atoms, fractional coordinates:
Dy  0.000  0.000  0.000 [2 per cell]
In  0.000  0.500  0.250 [4 per cell]
Te  0.189  0.694  0.500 [8 per cell]

Results
ΔE_f (raw) (eV per atom): -0.450

Record 4
Below is a relaxed structure of MgPb3, with properties calculated at the GGA-PBE level.

Cell: 3.559 5.554 5.950 Å, 90.00 90.00 90.00°
Space group Pmm2 (No. 25)
Inequivalent atoms, fractional coordinates:
Mg  0.000  0.000  0.000 [1 per cell]
Pb  0.000  0.500  0.338 [1 per cell]
Pb  0.500  0.000  0.511 [1 per cell]
Pb  0.500  0.500  0.859 [1 per cell]

Results
ΔH_f (0 K) (eV per atom): 0.0218

Record 5
Below is a relaxed structure of HoPuPaIn, with properties calculated at the GGA-PBE level.

Cell: 7.438 7.438 7.438 Å, 90.00 90.00 90.00°
Space group F-43m (No. 216)
Inequivalent atoms, fractional coordinates:
Ho  0.000  0.000  0.000 [4 per cell]
Pu  0.000  0.000  0.500 [4 per cell]
Pa  0.250  0.250  0.750 [4 per cell]
In  0.250  0.250  0.250 [4 per cell]

Results
ΔH_f (0 K) (eV per atom): 0.0995

Record 6
Below is a relaxed structure of NaYP3, with properties calculated at the GGA-PBE level.

Cell: 4.769 4.769 4.769 Å, 90.00 90.00 90.00°
Space group Pm-3m (No. 221)
Inequivalent atoms, fractional coordinates:
Na  0.000  0.000  0.000 [1 per cell]
Y  0.500  0.500  0.500 [1 per cell]
P  0.000  0.000  0.500 [3 per cell]

Results
Relative energy among the computed polymorphs (meV per atom): 291
ΔH_f (0 K) (eV per atom): 0.5401

no.,electronic total energy (eV per cell)
1,-182.28
2,-252.49
3,-51.59
4,-12.63
5,-122.98
6,-21.31